Record 1
# TcW2Br

A relaxed structure of TcW2Br (PBE, Alexandria via LeMat-Bulk).

Output
The raw total energy comes out at -0.32556 Ha/atom. Its symmetry is P4/mmm, No. 123. The calculation puts the spin magnetization at 0.000 μB per atom. As for the energy above the most stable polymorph in this dataset: 108 meV per atom. For the formation energy from raw total energies, the calculation gives 0.6274 eV/atom.

Cell lengths 2.999, 2.999, 7.128 Å; angles 90.00, 90.00, 90.00 degrees
Sites, in units of the cell vectors:
Tc 0.000 0.000 0.000
W 0.500 0.500 0.239
W 0.500 0.500 0.761
Br 0.000 0.000 0.500


Record 2
# La2Pm2Pr2Y

A relaxed structure of La2Pm2Pr2Y (PBE, Alexandria via LeMat-Bulk).

Output
The raw total energy comes out at -0.18508 Ha/atom. Its symmetry is C2/m, No. 12. The calculation puts the spin magnetization at 0.000 μB per atom. For the energy of formation, the calculation gives 0.018 eV per atom.

Cell lengths 6.390, 6.390, 8.222 Å; angles 97.44, 97.44, 48.32 degrees
Sites, in units of the cell vectors:
La 0.143 0.143 0.427
La 0.857 0.857 0.573
Pm 0.285 0.285 0.861
Pm 0.715 0.715 0.139
Pr 0.429 0.429 0.283
Pr 0.571 0.571 0.717
Y 0.000 0.000 0.000


Record 3
# BaSr2Sn

A relaxed structure of BaSr2Sn (PBE, Alexandria via LeMat-Bulk).

Output
The raw total energy comes out at -0.10034 Ha/atom. Its symmetry is Cmcm, No. 63. The calculation puts the spin magnetization at 0.001 μB per atom. For the energy of formation, the calculation gives -0.408 eV per atom.

Cell lengths 7.462, 7.462, 10.032 Å; angles 90.00, 90.00, 138.69 degrees
Sites, in units of the cell vectors:
Ba 0.058 0.942 0.750
Ba 0.942 0.058 0.250
Sr 0.348 0.652 0.557
Sr 0.348 0.652 0.943
Sr 0.652 0.348 0.057
Sr 0.652 0.348 0.443
Sn 0.233 0.767 0.250
Sn 0.767 0.233 0.750


Record 4
# Co4W3

A relaxed structure of Co4W3 (PBE, Alexandria via LeMat-Bulk).

Output
The raw total energy comes out at -0.34917 Ha/atom. Its symmetry is I4/mmm, No. 139. The calculation puts the spin magnetization at 0.001 μB per atom. For the energy of formation, the calculation gives 0.111 eV per atom. As for the energy above the most stable polymorph in this dataset: 0 meV per atom.

Cell lengths 9.762, 9.762, 9.762 Å; angles 161.80, 161.80, 25.85 degrees
Sites, in units of the cell vectors:
Co 0.068 0.068 0.000
Co 0.360 0.360 0.000
Co 0.640 0.640 0.000
Co 0.932 0.932 0.000
W 0.204 0.204 0.000
W 0.500 0.500 0.000
W 0.796 0.796 0.000


Record 5
# Sc2GaNi4Ge3

A relaxed structure of Sc2GaNi4Ge3 (PBE, Alexandria via LeMat-Bulk).

Output
The raw total energy comes out at -0.21530 Ha/atom. Its symmetry is P-4m2, No. 115. The calculation puts the spin magnetization at 0.000 μB per atom. For the energy of formation, the calculation gives -0.592 eV per atom.

Cell lengths 3.925, 3.925, 9.854 Å; angles 90.00, 90.00, 90.00 degrees
Sites, in units of the cell vectors:
Sc 0.000 0.500 0.249
Sc 0.500 0.000 0.751
Ga 0.000 0.000 0.500
Ni 0.000 0.000 0.000
Ni 0.000 0.500 0.637
Ni 0.500 0.000 0.363
Ni 0.500 0.500 0.000
Ge 0.000 0.500 0.867
Ge 0.500 0.000 0.133
Ge 0.500 0.500 0.500


Record 6
# NaUPdO6

A relaxed structure of NaUPdO6 (PBE, Alexandria via LeMat-Bulk).

Output
The raw total energy comes out at -0.25470 Ha/atom. Its symmetry is P4_2nm, No. 102. The calculation puts the spin magnetization at 0.102 μB per atom. For the formation energy from raw total energies, the calculation gives -1.6476 eV/atom.

Cell lengths 4.946, 4.946, 9.755 Å; angles 90.00, 90.00, 90.00 degrees
Sites, in units of the cell vectors:
Na 0.000 0.000 0.000
Na 0.500 0.500 0.500
U 0.000 0.000 0.335
U 0.500 0.500 0.835
Pd 0.000 0.000 0.671
Pd 0.500 0.500 0.171
O 0.176 0.176 0.507
O 0.204 0.204 0.816
O 0.211 0.211 0.186
O 0.289 0.711 0.686
O 0.296 0.704 0.316
O 0.324 0.676 0.007
O 0.676 0.324 0.007
O 0.704 0.296 0.316
O 0.711 0.289 0.686
O 0.789 0.789 0.186
O 0.796 0.796 0.816
O 0.824 0.824 0.507


Record 7
# Mn2ReHW

A relaxed structure of Mn2ReHW (PBE, Alexandria via LeMat-Bulk).

Output
The raw total energy comes out at -0.34222 Ha/atom. Its symmetry is P4/mmm, No. 123. The calculation puts the spin magnetization at 0.461 μB per atom.

Cell lengths 3.793, 3.793, 3.879 Å; angles 90.00, 90.00, 90.00 degrees
Sites, in units of the cell vectors:
Mn 0.000 0.500 0.000
Mn 0.500 0.000 0.000
Re 0.000 0.000 0.500
H 0.000 0.000 0.000
W 0.500 0.500 0.500


Record 8
# SrScC2I

A relaxed structure of SrScC2I (PBE, Alexandria via LeMat-Bulk).

Output
The raw total energy comes out at -0.12063 Ha/atom. Its symmetry is P4/mmm, No. 123. The calculation puts the spin magnetization at 0.354 μB per atom. For the formation energy from raw total energies, the calculation gives 2.3198 eV/atom.

Cell lengths 4.655, 4.655, 6.723 Å; angles 90.00, 90.00, 90.00 degrees
Sites, in units of the cell vectors:
Sr 0.000 0.000 0.000
Sc 0.000 0.000 0.500
C 0.000 0.500 0.000
C 0.500 0.000 0.000
I 0.500 0.500 0.500


Question: What is the formula in the third record?
Answer: BaSr2Sn


Question: Which value of spin magnetization does entry 2 give?
Answer: 0.000 μB per atom